No. 1
Here is a relaxed LiTl3Sb2Se6 crystal from Alexandria via LeMat-Bulk. Energies are from PBE.

a = 7.2050 Å, b = 12.4790 Å, c = 7.5676 Å
α = 90.00°, β = 108.26°, γ = 90.00°
With the nearest neighbours (Å) after each atom.
Space group C2/m (No. 12)
One atom of each set of equivalent atoms:
Li 0.0000 0.0000 0.0000 x2  6 Se 2.82-2.88
Tl 0.0000 0.1644 0.5000 x4  6 Se 3.13-3.16
Tl 0.0000 0.5000 0.5000 x2  6 Se 3.13-3.18
Sb 0.0000 0.3343 0.0000 x4  6 Se 2.83-2.89
Se 0.2378 0.5000 0.2099 x4  1 Li 2.82, 2 Sb 2.83, 2 Tl 3.16
Se 0.2410 0.1663 0.2204 x8  2 Sb 2.87-2.89, 1 Li 2.88, 3 Tl 3.13-3.15

Output
Its calculated volume is 323.1 Å³/f.u. For the raw formation energy, the calculation gives -0.408 eV/atom.

***

No. 2
Here is a relaxed BiIr3Se crystal from Alexandria via LeMat-Bulk. Energies are from PBE.

a = 4.6759 Å, b = 4.6759 Å, c = 4.6759 Å
α = 90.00°, β = 90.00°, γ = 90.00°
With the nearest neighbours (Å) after each atom.
Space group Pm-3m (No. 221)
One atom of each set of equivalent atoms:
Bi 0.0000 0.0000 0.0000 x1  12 Ir 3.31
Ir 0.0000 0.5000 0.5000 x3  2 Se 2.34
Se 0.5000 0.5000 0.5000 x1  6 Ir 2.34

Output
Its calculated volume is 102.2 Å³/f.u. For the raw formation energy, the calculation gives 1.007 eV/atom.

***

No. 3
Here is a relaxed Ag6SI2Cl2 crystal from Alexandria via LeMat-Bulk. Energies are from PBE.

a = 8.5566 Å, b = 11.1741 Å, c = 7.9386 Å
α = 90.00°, β = 119.69°, γ = 90.00°
With the nearest neighbours (Å) after each atom.
Space group C2/m (No. 12)
One atom of each set of equivalent atoms:
Ag 0.1754 0.1527 0.2632 x8  1 S 2.53, 1 I 2.80, 1 Cl 2.81
Ag 0.2015 0.5000 0.9691 x4  1 S 2.44, 2 Cl 2.57
S 0.0000 0.0000 0.0000 x2  6 Ag 2.44-2.53
I 0.0000 0.2286 0.5000 x4  4 Ag 2.80-3.05
Cl 0.0000 0.3406 0.0000 x4  4 Ag 2.57-2.81

Output
Its calculated volume is 329.7 Å³/f.u. For the raw formation energy, the calculation gives -0.214 eV/atom.

***

No. 4
Here is a relaxed Hf2Al4Ga3 crystal from Alexandria via LeMat-Bulk. Energies are from PBE.

a = 4.2796 Å, b = 5.5635 Å, c = 7.4725 Å
α = 76.85°, β = 89.43°, γ = 67.56°
With the nearest neighbours (Å) after each atom.
Space group P-1 (No. 2)
One atom of each set of equivalent atoms:
Hf 0.2137 0.0688 0.3159 x2  4 Ga 2.79-3.07, 5 Al 2.86-3.03
Al 0.0993 0.3062 0.6673 x2  3 Ga 2.59-2.89, 2 Al 2.80, 2 Hf 2.86-2.87
Al 0.3193 0.8616 0.9697 x2  3 Al 2.67-2.80, 2 Ga 2.80-2.81, 1 Hf 2.97
Ga 0.0000 0.5000 0.0000 x1  6 Al 2.80-2.89, 2 Hf 2.82
Ga 0.4553 0.5939 0.6558 x2  2 Al 2.59-2.60, 1 Ga 2.73, 2 Hf 2.79-2.80

Output
Its calculated volume is 159.5 Å³/f.u. The raw total energy is -45.700 eV/cell.

***

No. 5
Here is a relaxed Ca2B2Pt crystal from Alexandria via LeMat-Bulk. Energies are from PBE.

a = 7.8274 Å, b = 7.8274 Å, c = 2.9807 Å
α = 90.00°, β = 90.00°, γ = 90.00°
With the nearest neighbours (Å) after each atom.
Space group P4/mbm (No. 127)
One atom of each set of equivalent atoms:
Ca 0.2094 0.2906 0.0000 x4  2 Pt 2.80, 6 B 2.85-2.86, 2 Ca 2.98
B 0.0708 0.5708 0.5000 x4  1 B 1.57
Pt 0.0000 0.0000 0.0000 x2  4 Ca 2.80, 2 Pt 2.98

Output
Its calculated volume is 91.3 Å³/f.u. The raw total energy is -43.782 eV/cell.

***

No. 6
Here is a relaxed Sm5Dy2Mg crystal from Alexandria via LeMat-Bulk. Energies are from PBE.

a = 5.2202 Å, b = 11.3167 Å, c = 17.6166 Å
α = 90.00°, β = 90.00°, γ = 90.00°
With the nearest neighbours (Å) after each atom.
Space group Cmcm (No. 63)
One atom of each set of equivalent atoms:
Sm 0.0000 0.0330 0.2500 x4  3 Mg 3.26-3.55
Sm 0.0000 0.1467 0.0380 x8  3 Dy 3.48-3.57, 8 Sm 3.54-3.75
Sm 0.0000 0.4485 0.0920 x8  1 Mg 3.14, 1 Sm 3.44
Dy 0.0000 0.2553 0.6524 x8  2 Mg 3.24, 1 Dy 3.44, 4 Sm 3.48-3.57
Mg 0.0000 0.3208 0.2500 x4  3 Sm 3.14-3.26, 4 Dy 3.24

Output
Its calculated volume is 260.2 Å³/f.u. The raw total energy is -135.204 eV/cell.

***

No. 7
Here is a relaxed AcTaGe2 crystal from Alexandria via LeMat-Bulk. Energies are from PBE.

a = 5.2561 Å, b = 5.2561 Å, c = 11.5805 Å
α = 90.00°, β = 90.00°, γ = 120.00°
With the nearest neighbours (Å) after each atom.
Space group R-3m (No. 166, hexagonal axes)
One atom of each set of equivalent atoms:
Ac 0.0000 0.0000 0.0000 x3  8 Ge 3.06-3.14
Ta 0.0000 0.0000 0.5000 x3  2 Ge 2.73
Ge 0.0000 0.0000 0.2640 x6  1 Ta 2.73, 1 Ac 3.06

Output
Its calculated volume is 92.4 Å³/f.u. The raw total energy is -74.597 eV/cell.

***

No. 8
Here is a relaxed Nd3HoErTm crystal from Alexandria via LeMat-Bulk. Energies are from PBE.

a = 5.0732 Å, b = 15.2645 Å, c = 10.1706 Å
α = 90.00°, β = 90.00°, γ = 90.00°
With the nearest neighbours (Å) after each atom.
Space group Cmcm (No. 63)
One atom of each set of equivalent atoms:
Nd 0.0000 0.1651 0.0002 x8  2 Er 3.56-3.60, 2 Ho 3.58, 3 Tm 3.59-3.64, 5 Nd 3.59-3.63
Nd 0.0000 0.3339 0.2500 x4  2 Ho 3.59, 6 Nd 3.59-3.62, 2 Er 3.60, 2 Tm 3.62
Ho 0.0000 0.5000 0.0000 x4  6 Nd 3.58-3.59, 2 Tm 3.58, 4 Er 3.59
Er 0.0000 0.0017 0.2500 x4  2 Tm 3.55, 6 Nd 3.56-3.60, 4 Ho 3.59
Tm 0.0000 0.3352 0.7500 x4  2 Er 3.55, 2 Ho 3.58, 8 Nd 3.59-3.64

Output
Its calculated volume is 196.9 Å³/f.u. The raw total energy is -111.122 eV/cell.

***

No. 9
Here is a relaxed LiCdSeBr crystal from Alexandria via LeMat-Bulk. Energies are from PBE.

a = 4.3405 Å, b = 4.3405 Å, c = 20.9596 Å
α = 90.00°, β = 90.00°, γ = 120.00°
With the nearest neighbours (Å) after each atom.
Space group R3m (No. 160, hexagonal axes)
One atom of each set of equivalent atoms:
Li 0.0000 0.0000 0.0000 x3  1 Se 2.56, 3 Br 2.63
Cd 0.0000 0.0000 0.4937 x3  3 Se 2.63, 1 Br 2.83
Se 0.0000 0.0000 0.1223 x3  1 Li 2.56, 3 Cd 2.63
Br 0.0000 0.0000 0.6289 x3  3 Li 2.63, 1 Cd 2.83

Output
Its calculated volume is 114.0 Å³/f.u. For the raw formation energy, the calculation gives -1.032 eV/atom.

***

No. 10
Here is a relaxed BeAuSe crystal from Alexandria via LeMat-Bulk. Energies are from PBE.

a = 6.0972 Å, b = 6.0972 Å, c = 6.0972 Å
α = 90.00°, β = 90.00°, γ = 90.00°
With the nearest neighbours (Å) after each atom.
Space group F-43m (No. 216)
One atom of each set of equivalent atoms:
Be 0.0000 0.0000 0.0000 x4  4 Au 2.64
Au 0.2500 0.2500 0.2500 x4  4 Se 2.64, 4 Be 2.64
Se 0.0000 0.0000 0.5000 x4  4 Au 2.64

Output
Its calculated volume is 56.7 Å³/f.u. For the raw formation energy, the calculation gives 0.312 eV/atom.

***

No. 11
Here is a relaxed BaCuN crystal from Alexandria via LeMat-Bulk. Energies are from PBE.

a = 14.5805 Å, b = 5.6187 Å, c = 9.5641 Å
α = 90.00°, β = 102.90°, γ = 90.00°
With the nearest neighbours (Å) after each atom.
Space group C2/c (No. 15)
One atom of each set of equivalent atoms:
Ba 0.0000 0.2175 0.2500 x4  4 N 2.82-2.87
Ba 0.1681 0.2621 0.6289 x8  4 N 2.80-3.03
Cu 0.0737 0.2681 0.9403 x8  2 N 1.86-1.89
Cu 0.2500 0.2500 0.0000 x4  2 N 1.89
N 0.0000 0.5000 0.0000 x4  2 Cu 1.86
N 0.1586 0.0425 0.8939 x8  2 Cu 1.89

Output
Its calculated volume is 63.6 Å³/f.u. For the raw formation energy, the calculation gives -0.349 eV/atom.

***

No. 12
Here is a relaxed Li2AlSe crystal from Alexandria via LeMat-Bulk. Energies are from PBE.

a = 3.5610 Å, b = 3.5610 Å, c = 5.4114 Å
α = 90.00°, β = 90.00°, γ = 90.00°
With the nearest neighbours (Å) after each atom.
Space group P4mm (No. 99)
One atom of each set of equivalent atoms:
Li 0.0000 0.0000 0.0000 x1  2 Se 2.66-2.75, 4 Al 2.86, 4 Li 2.89
Li 0.5000 0.5000 0.2605 x1  2 Al 2.66-2.76, 4 Se 2.85, 4 Li 2.89
Al 0.5000 0.5000 0.7512 x1  6 Li 2.66-2.86, 4 Se 2.84
Se 0.0000 0.0000 0.5086 x1  6 Li 2.66-2.85, 4 Al 2.84

Output
Its calculated volume is 68.6 Å³/f.u. For the raw formation energy, the calculation gives -0.408 eV/atom.

***

- Among the records above, which one has the lowest calculated volume?
  BeAuSe